DFT (GGA-PBE) results for an optimized crystal structure of Pr6SiTe5.

The value obtained for the formation energy from raw total energies is -16.63 eV per formula unit. Its total moment is 0.000 μB/atom.

The space group is C2/m (No. 12) and the conventional cell measures 7.813, 13.503 and 7.823 Å, with angles of 90.00, 109.38 and 90.00 degrees. The distinct sites, in fractional coordinates, are Pr at (0.228, 0.000, 0.264), Pr at (0.231, 0.154, 0.732), Si at (0.000, 0.000, 0.500), Te at (0.000, 0.174, 0.000), Te at (0.000, 0.335, 0.500) and Te at (0.000, 0.500, 0.000).

---

DFT (GGA-PBE) results for an optimized crystal structure of PrSiTe3.

The value obtained for the formation energy from raw total energies is -1.84 eV per formula unit. Its total moment is 0.000 μB/atom. Its energy above the lowest structure with this stoichiometry is 271 meV per atom.

The space group is Imma (No. 74) and the conventional cell measures 6.217, 10.073 and 9.808 Å, with angles of 90.00, 90.00 and 90.00 degrees. The distinct sites, in fractional coordinates, are Pr at (0.000, 0.250, 0.048), Si at (0.250, 0.250, 0.750), Te at (0.000, 0.250, 0.512) and Te at (0.250, 0.034, 0.250).

---

DFT (GGA-PBE) results for an optimized crystal structure of PrSiTe3.

The value obtained for the formation energy from raw total energies is -3.20 eV per formula unit. Its total moment is 0.000 μB/atom. Its energy above the lowest structure with this stoichiometry is 0 meV per atom.

The space group is Pna2_1 (No. 33) and the conventional cell measures 8.762, 7.182 and 9.899 Å, with angles of 90.00, 90.00 and 90.00 degrees. The distinct sites, in fractional coordinates, are Pr at (0.117, 0.039, 0.000), Si at (0.075, 0.529, 0.234), Te at (0.032, 0.385, 0.488), Te at (0.177, 0.839, 0.696) and Te at (0.178, 0.850, 0.307).